No. 1
This record from Alexandria describes crystalline Cs2DyHF6 at its relaxed geometry. The functional is PBE-GGA.

```
Cs2DyHF6
1.0
6.164 1.203 -0.004
1.203 6.165 -0.004
3.686 3.686 5.220
Cs Dy H F
2 1 1 6
Direct
0.750 0.250 0.500
0.250 0.750 0.500
0.000 0.000 0.000
0.500 0.500 0.000
0.205 0.205 0.589
0.794 0.794 0.000
0.333 0.667 0.000
0.667 0.333 0.000
0.206 0.206 0.000
0.795 0.795 0.411
```

spin magnetization	0.24	Bohr magnetons per cell
density	4.7	g/cm³
uncorrected energy	-5.124	eV per atom

=====

No. 2
This record from Alexandria describes crystalline Cs2DyHg3F12 at its relaxed geometry. The functional is PBE-GGA.

```
Cs2DyHg3F12
1.0
-7.765 -1.978 -2.696
-6.239 -1.932 5.368
-6.600 5.141 1.220
Cs Dy Hg F
2 1 3 12
Direct
0.670 0.670 0.670
0.330 0.330 0.330
0.000 0.000 0.000
0.500 0.000 0.000
0.000 0.500 0.000
0.000 0.000 0.500
0.323 0.323 0.947
0.927 0.927 0.315
0.315 0.927 0.927
0.947 0.323 0.323
0.927 0.315 0.927
0.323 0.947 0.323
0.677 0.677 0.053
0.073 0.073 0.685
0.685 0.073 0.073
0.053 0.677 0.677
0.073 0.685 0.073
0.677 0.053 0.677
```

spin magnetization	0.00	Bohr magnetons per cell
energy relative to the elements, uncorrected	-2283	meV/atom
density	5.1	g/cm³

=====

No. 3
This record from Alexandria describes crystalline Cs2DyInF6 at its relaxed geometry. The functional is PBE-GGA.

```
Cs2DyInF6
1.0
-6.274 -0.425 2.821
2.140 -5.141 3.985
2.687 6.375 6.783
Cs Dy In F
4 2 2 12
Direct
0.004 0.981 0.250
0.504 0.519 0.750
0.996 0.019 0.750
0.496 0.481 0.250
0.500 0.000 0.500
0.000 0.500 0.000
0.500 0.000 0.000
0.000 0.500 0.500
0.245 0.701 0.032
0.745 0.799 0.532
0.755 0.299 0.968
0.255 0.201 0.468
0.304 0.752 0.463
0.804 0.748 0.963
0.696 0.248 0.537
0.196 0.252 0.037
0.936 0.515 0.222
0.436 0.985 0.722
0.064 0.485 0.778
0.564 0.015 0.278
```

spin magnetization	0.00	Bohr magnetons per cell
energy relative to the elements, uncorrected	-3105	meV/atom
density	4.8	g/cm³

=====

- Number 2 is which compound?
  Cs2DyHg3F12